Computed, not measured: an optimized crystal structure of ErMgRu at the PBE-GGA level of DFT.

Calculated values
The value obtained for the total magnetic moment is 0.00 μB per formula unit. As for the density of states at the Fermi level: 5.65 states/eV per cell. As for the space group: P4_2/mmc (131). The crystal system is tetragonal. The formation energy is -0.08 eV/atom.

Unit cell a=4.6565 b=4.6556 c=6.2676 alpha=90.01 beta=90.02 gamma=90.00
Positions (direct):
Mg 0.7723 0.0985 0.2364
Mg 0.2726 0.5987 0.7366
Er 0.7726 0.0986 0.7364
Er 0.2723 0.5985 0.2365
Ru 0.7724 0.5986 0.4864
Ru 0.7724 0.5986 0.9864